[1]
# SmCdTe2O8 | Alexandria via LeMat-Bulk | PBE | relaxed
data_SmCdTe2O8
_chemical_formula_sum 'Sm2 Cd2 Te4 O16'
_cell_length_a 5.342
_cell_length_b 5.342
_cell_length_c 11.585
_cell_angle_alpha 90.00
_cell_angle_beta 90.00
_cell_angle_gamma 90.00
_space_group_name_H-M_alt 'I -4'
_space_group_IT_number 82
loop_
_space_group_symop_operation_xyz
'x,y,z'
'y,-x,-z'
'-x,-y,z'
'-y,x,-z'
'x+1/2,y+1/2,z+1/2'
'y+1/2,-x+1/2,-z+1/2'
'-x+1/2,-y+1/2,z+1/2'
'-y+1/2,x+1/2,-z+1/2'
loop_
_atom_site_label
_atom_site_type_symbol
_atom_site_fract_x
_atom_site_fract_y
_atom_site_fract_z
Sm1 Sm 0.000 0.000 0.000
Cd1 Cd 0.000 0.500 0.250
Te1 Te 0.000 0.000 0.500
Te2 Te 0.000 0.500 0.750
O1 O 0.172 0.748 0.836
O2 O 0.176 0.254 0.414
# Formation energy (no corrections) ... -1.44 eV per atom
# VASP energy ... -137.8 eV/cell
# Total moment ... 0.00 μB per formula unit

=====

[2]
# SmCdTeO6 | Alexandria via LeMat-Bulk | PBE | relaxed
data_SmCdTeO6
_chemical_formula_sum 'Sm2 Cd2 Te2 O12'
_cell_length_a 5.098
_cell_length_b 5.098
_cell_length_c 10.174
_cell_angle_alpha 90.00
_cell_angle_beta 90.00
_cell_angle_gamma 90.00
_space_group_name_H-M_alt 'P 42 n m'
_space_group_IT_number 102
loop_
_space_group_symop_operation_xyz
'x,y,z'
'-y+1/2,x+1/2,z+1/2'
'-x,-y,z'
'y+1/2,-x+1/2,z+1/2'
'-x+1/2,y+1/2,z+1/2'
'y,x,z'
'x+1/2,-y+1/2,z+1/2'
'-y,-x,z'
loop_
_atom_site_label
_atom_site_type_symbol
_atom_site_fract_x
_atom_site_fract_y
_atom_site_fract_z
Sm1 Sm 0.000 0.000 0.000
Cd1 Cd 0.000 0.000 0.331
Te1 Te 0.000 0.000 0.664
O1 O 0.181 0.181 0.807
O2 O 0.182 0.182 0.523
O3 O 0.230 0.230 0.162
# Formation energy (no corrections) ... -1.58 eV per atom
# VASP energy ... -105.6 eV/cell
# Total moment ... 1.06 μB per formula unit

=====

[3]
# Sm2TiCdO6 | Alexandria via LeMat-Bulk | PBE | relaxed
data_Sm2TiCdO6
_chemical_formula_sum 'Sm2 Ti1 Cd1 O6'
_cell_length_a 5.359
_cell_length_b 5.359
_cell_length_c 5.228
_cell_angle_alpha 90.00
_cell_angle_beta 90.00
_cell_angle_gamma 90.00
_space_group_name_H-M_alt 'P 4 m m'
_space_group_IT_number 99
loop_
_space_group_symop_operation_xyz
'x,y,z'
'-y,x,z'
'-x,-y,z'
'y,-x,z'
'-x,y,z'
'y,x,z'
'x,-y,z'
'-y,-x,z'
loop_
_atom_site_label
_atom_site_type_symbol
_atom_site_fract_x
_atom_site_fract_y
_atom_site_fract_z
Sm1 Sm 0.000 0.500 0.000
Ti1 Ti 0.000 0.000 0.608
Cd1 Cd 0.500 0.500 0.549
O1 O 0.000 0.000 0.255
O2 O 0.235 0.235 0.750
O3 O 0.500 0.500 0.145
# Formation energy (no corrections) ... -2.72 eV per atom
# VASP energy ... -75.2 eV/cell
# Total moment ... 0.00 μB per formula unit

=====

[4]
# Sm4TlCdO | Alexandria via LeMat-Bulk | PBE | relaxed
data_Sm4TlCdO
_chemical_formula_sum 'Sm16 Tl4 Cd4 O4'
_cell_length_a 6.783
_cell_length_b 16.358
_cell_length_c 6.790
_cell_angle_alpha 90.00
_cell_angle_beta 90.00
_cell_angle_gamma 90.00
_space_group_name_H-M_alt 'C m c m'
_space_group_IT_number 63
_space_group_name_Hall '-C 2c 2'
loop_
_atom_site_label
_atom_site_type_symbol
_atom_site_fract_x
_atom_site_fract_y
_atom_site_fract_z
Sm1 Sm 0.000 0.077 0.250
Sm2 Sm 0.000 0.421 0.250
Sm3 Sm 0.250 0.250 0.000
Tl1 Tl 0.000 0.388 0.750
Cd1 Cd 0.000 0.115 0.750
O1 O 0.000 0.250 0.250
# Formation energy (no corrections) ... -0.96 eV per atom
# VASP energy ... -135.4 eV/cell
# Total moment ... 0.00 μB per formula unit

=====

[5]
# Sm12Tl4CdO3 | Alexandria via LeMat-Bulk | PBE | relaxed
data_Sm12Tl4CdO3
_chemical_formula_sum 'Sm24 Tl8 Cd2 O6'
_cell_length_a 10.225
_cell_length_b 10.225
_cell_length_c 10.225
_cell_angle_alpha 90.00
_cell_angle_beta 90.00
_cell_angle_gamma 90.00
_space_group_name_H-M_alt 'I m -3 m'
_space_group_IT_number 229
_space_group_name_Hall '-I 4 2 3'
loop_
_atom_site_label
_atom_site_type_symbol
_atom_site_fract_x
_atom_site_fract_y
_atom_site_fract_z
Sm1 Sm 0.000 0.000 0.273
Sm2 Sm 0.000 0.250 0.500
Tl1 Tl 0.250 0.250 0.250
Cd1 Cd 0.000 0.000 0.000
O1 O 0.000 0.000 0.500
# Formation energy (no corrections) ... -0.89 eV per atom
# VASP energy ... -199.2 eV/cell
# Total moment ... 0.00 μB per formula unit

=====

[6]
# Sm12TlCd4O3 | Alexandria via LeMat-Bulk | PBE | relaxed
data_Sm12TlCd4O3
_chemical_formula_sum 'Sm24 Tl2 Cd8 O6'
_cell_length_a 10.297
_cell_length_b 10.297
_cell_length_c 10.297
_cell_angle_alpha 90.00
_cell_angle_beta 90.00
_cell_angle_gamma 90.00
_space_group_name_H-M_alt 'I m -3 m'
_space_group_IT_number 229
_space_group_name_Hall '-I 4 2 3'
loop_
_atom_site_label
_atom_site_type_symbol
_atom_site_fract_x
_atom_site_fract_y
_atom_site_fract_z
Sm1 Sm 0.000 0.000 0.277
Sm2 Sm 0.000 0.250 0.500
Tl1 Tl 0.000 0.000 0.000
Cd1 Cd 0.250 0.250 0.250
O1 O 0.000 0.000 0.500
# Formation energy (no corrections) ... -0.81 eV per atom
# VASP energy ... -187.3 eV/cell
# Total moment ... 0.00 μB per formula unit